1.
Compound: PaZnAs2
Source: Alexandria via LeMat-Bulk
Functional: PBE
Structure: relaxed

```
PaZnAs2
1.0
4.852 0.000 0.000
2.426 4.202 0.000
2.426 1.401 3.962
As Pa Zn
2 1 1
Cartesian
2.426 1.401 0.990
7.278 4.202 2.971
4.852 2.801 1.981
0.000 0.000 0.000
```

## Properties
* N(E_F): 4.5 states/eV/f.u.
* formation energy from the elements: -378 meV/atom


2.
Compound: PmNd5SmTm2
Source: Alexandria via LeMat-Bulk
Functional: PBE
Structure: relaxed

```
PmNd5SmTm2
1.0
5.691 0.000 0.000
-2.846 10.222 0.000
0.000 0.000 10.712
Pm Nd Sm Tm
2 10 2 4
Cartesian
2.846 6.133 5.467
0.000 4.088 0.111
0.000 7.980 0.278
2.846 4.475 8.679
0.000 9.773 7.941
0.000 6.057 7.546
2.846 9.885 5.598
2.846 2.241 5.634
0.000 5.747 3.323
2.846 0.449 2.585
2.846 4.164 2.190
0.000 0.337 0.242
2.846 1.790 10.202
0.000 8.432 4.846
2.846 7.834 8.780
0.000 2.273 7.895
0.000 2.388 3.424
2.846 7.949 2.540
```

## Properties
* N(E_F): 14.1 states/eV/f.u.
* formation energy from the elements: 148 meV/atom


3.
Compound: CuPS4
Source: Alexandria via LeMat-Bulk
Functional: PBE
Structure: relaxed

```
CuPS4
1.0
-0.455 -3.874 -4.070
5.533 0.403 -1.002
1.431 -5.956 5.509
Cu P S
2 2 8
Cartesian
0.716 -2.978 2.754
0.000 0.000 0.000
3.124 -1.288 0.876
0.846 -6.404 2.097
2.085 -3.056 0.928
4.103 -5.031 -1.730
5.037 -4.478 1.396
1.794 -6.289 0.280
1.440 -3.558 -2.835
3.960 -1.253 -0.998
5.244 -7.705 1.242
2.375 -6.338 3.465
```

## Properties
* N(E_F): 5.8 states/eV/f.u.


4.
Compound: AcGaPdAu
Source: Alexandria via LeMat-Bulk
Functional: PBE
Structure: relaxed

```
AcGaPdAu
1.0
-0.719 -0.878 4.955
-3.053 -3.779 1.494
1.972 -4.159 2.156
Ac Au Ga Pd
1 1 1 1
Cartesian
-1.350 -6.612 6.454
0.000 0.000 0.000
-0.450 -2.204 2.151
-0.900 -4.408 4.303
```

## Properties
* N(E_F): 3.8 states/eV/f.u.
* formation energy from the elements: -533 meV/atom


5.
Compound: Tl2SbBr
Source: Alexandria via LeMat-Bulk
Functional: PBE
Structure: relaxed

```
Tl2SbBr
1.0
6.379 0.063 0.012
5.351 3.482 0.012
-0.011 -0.003 5.746
Sb Tl Br
1 2 1
Cartesian
8.706 2.633 5.046
0.076 0.022 5.028
2.895 0.875 2.161
5.889 1.780 2.167
```

## Properties
* N(E_F): 1.8 states/eV/f.u.


6.
Compound: Rb6Au2Br
Source: Alexandria via LeMat-Bulk
Functional: PBE
Structure: relaxed

```
Rb6Au2Br
1.0
-6.458 5.252 2.216
-8.135 -2.814 -0.298
-4.253 -1.800 8.613
Rb Au Br
6 2 1
Cartesian
-8.861 2.442 8.062
-6.988 -1.975 6.471
-11.978 -1.404 7.041
-9.986 -1.805 2.469
-11.859 2.612 4.060
-6.868 2.041 3.490
-4.577 -0.414 4.381
-14.269 1.051 6.150
0.000 0.000 0.000
```

## Properties
* N(E_F): 4.0 states/eV/f.u.


7.
Compound: BaCo2Ni
Source: Alexandria via LeMat-Bulk
Functional: PBE
Structure: relaxed

```
BaCo2Ni
1.0
-1.009 3.823 3.792
-1.490 -2.114 4.829
3.950 0.395 -3.775
Ba Co Ni
1 2 1
Cartesian
0.605 -0.433 2.682
-2.369 1.619 8.169
-1.381 0.944 4.763
0.846 2.536 2.164
```

## Properties
* N(E_F): 5.2 states/eV/f.u.
* formation energy from the elements: 811 meV/atom


8.
Compound: Li2Al
Source: Alexandria via LeMat-Bulk
Functional: PBE
Structure: relaxed

```
Li2Al
1.0
-4.469 -1.927 -0.414
0.648 -0.466 -4.819
1.048 -2.514 0.384
Al Li
1 2
Cartesian
0.000 0.000 0.000
0.848 -1.490 -2.217
-1.711 -2.220 -0.015
```

## Properties
* N(E_F): 1.2 states/eV/f.u.
* formation energy from the elements: 62 meV/atom


9.
Compound: HfReAsSe2
Source: Alexandria via LeMat-Bulk
Functional: PBE
Structure: relaxed

```
HfReAsSe2
1.0
4.909 0.000 0.000
0.000 4.909 0.000
0.000 0.000 4.724
Re As Hf Se
1 1 1 2
Cartesian
0.000 0.000 0.000
0.000 0.000 2.362
2.454 2.454 2.362
0.000 2.454 0.000
2.454 0.000 0.000
```

## Properties
* N(E_F): 5.4 states/eV/f.u.


10.
Compound: MnFe2SbIr
Source: Alexandria via LeMat-Bulk
Functional: PBE
Structure: relaxed

```
MnFe2SbIr
1.0
4.306 0.000 0.000
0.000 4.564 0.000
0.000 0.000 4.306
Sb Ir Fe Mn
1 1 2 1
Cartesian
2.153 2.282 2.153
0.000 2.282 0.000
0.000 0.000 2.153
2.153 0.000 0.000
0.000 0.000 0.000
```

## Properties
* N(E_F): 7.9 states/eV/f.u.


11.
Compound: BaSbPd2Au2
Source: Alexandria via LeMat-Bulk
Functional: PBE
Structure: relaxed

```
BaSbPd2Au2
1.0
4.976 0.000 0.000
0.000 4.976 0.000
0.000 0.000 6.332
Ba Sb Pd Au
1 1 2 2
Cartesian
0.000 0.000 3.166
0.000 0.000 0.000
2.488 0.000 0.000
0.000 2.488 0.000
2.488 2.488 4.607
2.488 2.488 1.725
```

## Properties
* N(E_F): 3.8 states/eV/f.u.


12.
Compound: ZrBeAs2
Source: Alexandria via LeMat-Bulk
Functional: PBE
Structure: relaxed

```
ZrBeAs2
1.0
3.512 0.000 0.000
0.000 3.511 0.000
0.000 0.000 5.421
Be As Zr
1 2 1
Cartesian
1.756 1.756 1.355
0.000 0.000 0.078
0.000 0.000 2.633
1.756 1.756 4.066
```

## Properties
* N(E_F): 1.4 states/eV/f.u.
* formation energy from the elements: -298 meV/atom


13.
Compound: ZrAlRe2
Source: Alexandria via LeMat-Bulk
Functional: PBE
Structure: relaxed

```
ZrAlRe2
1.0
-0.146 -0.997 4.343
2.865 -0.475 -0.013
1.947 4.739 1.153
Re Al Zr
2 1 1
Cartesian
2.737 -0.342 0.013
0.979 0.402 2.413
3.876 2.638 3.024
2.346 2.225 0.590
```

## Properties
* N(E_F): 4.5 states/eV/f.u.
* formation energy from the elements: -109 meV/atom


14.
Compound: InSn2BiI8
Source: Alexandria via LeMat-Bulk
Functional: PBE
Structure: relaxed

```
InSn2BiI8
1.0
-4.519 5.917 2.351
-5.478 -4.734 1.702
3.443 -0.845 8.753
In Sn Bi I
1 2 1 8
Cartesian
1.722 -0.422 4.377
-2.417 -0.041 8.589
-4.136 0.380 4.218
0.000 0.000 0.000
-4.044 -2.780 3.665
-3.757 -0.479 11.625
-4.370 3.574 4.405
-2.510 3.118 9.142
-2.797 0.818 1.182
-2.184 -3.236 8.402
-5.171 -0.020 7.130
-1.382 0.359 5.677
```


15.
Compound: FeNi
Source: Alexandria via LeMat-Bulk
Functional: PBE
Structure: relaxed

```
FeNi
1.0
1.985 -3.438 0.000
1.985 3.438 0.000
0.000 0.000 7.098
Fe Ni
4 4
Cartesian
0.000 0.000 1.774
0.000 0.000 5.323
1.985 1.146 5.323
1.985 -1.146 1.774
1.985 1.146 0.561
1.985 -1.146 4.110
1.985 -1.146 6.537
1.985 1.146 2.988
```

## Properties
* N(E_F): 2.6 states/eV/f.u.
* formation energy from the elements: 284 meV/atom


16.
Compound: Fe2Pd3Rh
Source: Alexandria via LeMat-Bulk
Functional: PBE
Structure: relaxed

```
Fe2Pd3Rh
1.0
-1.167 2.653 2.684
-3.054 -2.080 0.729
3.498 -4.175 2.741
Fe Pd Rh
2 3 1
Cartesian
-0.577 -1.968 1.695
-0.146 -1.633 4.458
1.923 -1.879 2.694
0.408 0.357 2.731
-2.110 0.287 1.706
0.000 0.000 0.000
```

## Properties
* N(E_F): 5.2 states/eV/f.u.
* formation energy from the elements: -45 meV/atom


17.
Compound: PmCdSb4
Source: Alexandria via LeMat-Bulk
Functional: PBE
Structure: relaxed

```
PmCdSb4
1.0
-3.790 -2.247 -4.482
-1.073 -6.180 -0.401
-5.641 -2.315 1.524
Sb Cd Pm
4 1 1
Cartesian
-3.718 -5.559 -2.882
-6.042 -3.593 -1.902
-6.588 -6.737 -2.106
-4.660 -5.594 0.174
0.000 0.000 0.000
-2.626 -2.686 -0.840
```

## Properties
* N(E_F): 3.9 states/eV/f.u.


18.
Compound: Mg2Pd7Au2
Source: Alexandria via LeMat-Bulk
Functional: PBE
Structure: relaxed

```
Mg2Pd7Au2
1.0
-1.742 3.052 -3.568
-1.910 -5.886 -1.571
-4.124 0.369 4.860
Mg Pd Au
2 7 2
Cartesian
-3.642 -0.994 3.459
-2.393 -4.523 -0.170
-4.659 -3.229 -1.849
-1.988 -2.426 -1.711
-3.117 0.764 1.569
-5.788 -0.039 1.431
-0.871 1.526 -1.784
-4.204 -2.301 0.791
-3.572 -0.164 -1.070
-1.557 -1.197 0.628
-6.219 -1.268 -0.908
```

## Properties
* N(E_F): 6.1 states/eV/f.u.
* formation energy from the elements: -252 meV/atom


19.
Compound: Ba8Pt3S
Source: Alexandria via LeMat-Bulk
Functional: PBE
Structure: relaxed

```
Ba8Pt3S
1.0
-3.949 -0.121 8.414
-5.240 -0.993 -7.608
5.764 -6.765 2.608
Ba Pt S
8 3 1
Cartesian
0.743 -5.767 0.266
-4.167 -2.112 3.149
3.346 -5.299 4.084
1.389 -5.359 8.254
-1.208 -5.852 4.483
-2.216 -2.027 -1.069
-4.813 -2.520 -4.840
-6.771 -2.580 -0.670
-1.974 -0.061 4.207
-4.594 -0.557 0.403
-2.620 -0.496 -3.804
0.000 0.000 0.000
```

## Properties
* N(E_F): 7.9 states/eV/f.u.


20.
Compound: NaPmBi
Source: Alexandria via LeMat-Bulk
Functional: PBE
Structure: relaxed

```
NaPmBi
1.0
-0.675 -4.439 2.457
3.498 -3.713 -0.417
5.378 0.643 7.969
Bi Na Pm
2 2 2
Cartesian
4.301 -0.172 6.201
3.899 -7.337 3.809
2.312 -5.109 2.067
5.888 -2.400 7.942
2.604 -1.458 3.413
5.596 -6.052 6.597
```

## Properties
* N(E_F): 2.4 states/eV/f.u.
* formation energy from the elements: -388 meV/atom


| no. | calculated total energy (Ha/atom) | calculated volume (Å³/cell) |
| --- | --- | --- |
| 1 | -0.198 | 80.8 |
| 2 | -0.167 | 623.2 |
| 3 | -0.160 | 261.8 |
| 4 | -0.163 | 92.9 |
| 5 | -0.106 | 125.7 |
| 6 | -0.075 | 540.6 |
| 7 | -0.172 | 74.7 |
| 8 | -0.090 | 65.6 |
| 9 | -0.225 | 113.8 |
| 10 | -0.251 | 84.6 |
| 11 | -0.150 | 156.8 |
| 12 | -0.209 | 66.8 |
| 13 | -0.346 | 66.4 |
| 14 | -0.099 | 548.4 |
| 15 | -0.251 | 96.9 |
| 16 | -0.246 | 85.8 |
| 17 | -0.138 | 175.5 |
| 18 | -0.163 | 186.1 |
| 19 | -0.144 | 563.5 |
| 20 | -0.136 | 208.1 |